No. 1
Material: LaIr2
Method: DFT, PBE
State: relaxed

It has space group Pa-3 (No. 205), with a = 6.7208 Å, b = 6.7208 Å, c = 6.7208 Å, α = 90.00°, β = 90.00° and γ = 90.00°. Symmetry generates all atoms from La at (0.0000, 0.0000, 0.0000) and Ir at (0.1038, 0.6038, 0.8962).

Its volume is 303.57 Å³ per cell. The formation energy comes out at 0.719 eV/atom. For the density of states at the Fermi level, the calculation gives 20.156 states/eV per cell.

No. 2
Material: LaSbSCl2
Method: DFT, PBE
State: relaxed

It has space group P4/mmm (No. 123), with a = 5.3150 Å, b = 5.3150 Å, c = 5.3558 Å, α = 90.00°, β = 90.00° and γ = 90.00°. Symmetry generates all atoms from La at (0.0000, 0.0000, 0.0000), Sb at (0.5000, 0.5000, 0.5000), S at (0.5000, 0.5000, 0.0000) and Cl at (0.0000, 0.5000, 0.5000).

Its volume is 151.30 Å³ per cell. The energy above the most stable polymorph in this dataset is 495 meV per atom. The uncorrected formation energy is -500 meV/atom. For the density of states at the Fermi level, the calculation gives 6.962 states/eV per cell.

No. 3
Material: B2C
Method: DFT, PBE
State: relaxed

It has space group P1 (No. 1), with a = 4.1194 Å, b = 4.3220 Å, c = 5.4669 Å, α = 93.84°, β = 105.36° and γ = 100.91°. Symmetry generates all atoms from B at (0.0000, 0.0000, 0.0000), B at (0.0115, 0.6243, 0.1620), B at (0.3252, 0.6131, 0.4385), B at (0.3959, 0.0233, 0.7232), B at (0.4110, 0.9756, 0.2091), B at (0.5628, 0.3270, 0.4775), B at (0.6378, 0.9619, 0.5233), B at (0.9394, 0.6065, 0.5274), C at (0.0157, 0.9252, 0.7075), C at (0.3003, 0.3635, 0.1548), C at (0.6318, 0.3928, 0.0866) and C at (0.6396, 0.0618, 0.0150).

Its volume is 91.45 Å³ per cell. The formation energy comes out at 0.489 eV/atom. The energy above the most stable polymorph in this dataset is 304 meV per atom. For the density of states at the Fermi level, the calculation gives 0.153 states/eV per cell.

No. 4
Material: HfTe4Au
Method: DFT, PBE
State: relaxed

It has space group Pmn2_1 (No. 31), with a = 8.4761 Å, b = 7.3740 Å, c = 5.9920 Å, α = 90.00°, β = 90.00° and γ = 90.00°. Symmetry generates all atoms from Hf at (0.0000, 0.0329, 0.0000), Te at (0.0000, 0.3523, 0.7639), Te at (0.0000, 0.7298, 0.3068), Te at (0.2131, 0.8342, 0.7058) and Au at (0.0000, 0.3492, 0.2941).

Its volume is 374.52 Å³ per cell. The uncorrected formation energy is -220 meV/atom. For the density of states at the Fermi level, the calculation gives 10.720 states/eV per cell.

No. 5
Material: YTmGeRh
Method: DFT, PBE
State: relaxed

It has space group Amm2 (No. 38), with a = 4.1702 Å, b = 3.9842 Å, c = 10.5571 Å, α = 90.00°, β = 90.00° and γ = 90.00°. Symmetry generates all atoms from Y at (0.0000, 0.0000, 0.0000), Tm at (0.5000, 0.0000, 0.7199), Ge at (0.0000, 0.0000, 0.2834) and Rh at (0.5000, 0.0000, 0.4391).

Its volume is 175.40 Å³ per cell. The formation energy comes out at -0.871 eV/atom. The energy above the most stable polymorph in this dataset is 0 meV per atom. For the density of states at the Fermi level, the calculation gives 5.611 states/eV per cell.

No. 6
Material: K2AgPt
Method: DFT, PBE
State: relaxed

It has space group R3m (No. 160, hexagonal axes), with a = 4.9005 Å, b = 4.9005 Å, c = 16.6340 Å, α = 90.00°, β = 90.00° and γ = 120.00°. Symmetry generates all atoms from K at (0.0000, 0.0000, 0.0000), K at (0.0000, 0.0000, 0.2159), Ag at (0.0000, 0.0000, 0.4432) and Pt at (0.0000, 0.0000, 0.7764).

Its volume is 345.95 Å³ per cell. The formation energy comes out at 0.036 eV/atom. The energy above the most stable polymorph in this dataset is 15 meV per atom. For the density of states at the Fermi level, the calculation gives 7.261 states/eV per cell.

Q: Which value of volume does entry 6 give?
A: 345.95 Å³ per cell